! Ni2Rh2Au, relaxed, DFT PBE; values from VASP
&SYSTEM
  ibrav = 0, nat = 5, ntyp = 3
/
ATOMIC_SPECIES
Ni 58.69 Ni.upf
Rh 102.91 Rh.upf
Au 196.97 Au.upf
CELL_PARAMETERS angstrom
5.982 -1.596 0.197
5.063 3.377 1.152
-5.745 -1.413 1.835
ATOMIC_POSITIONS crystal
Ni 0.599 0.599 0.000
Ni 0.401 0.401 0.000
Rh 0.250 0.750 0.500
Rh 0.750 0.250 0.500
Au 0.000 0.000 0.000
! energy above the most stable polymorph in this dataset: 187 meV/atom
! magnetic moment: 0.33 μB per atom
! energy of formation from the pure elements: 372.6 meV/atom
! DFT total energy: -5.536 eV/atom

***

! TbHoGa2Pd5, relaxed, DFT PBE; values from VASP
&SYSTEM
  ibrav = 0, nat = 9, ntyp = 4
/
ATOMIC_SPECIES
Tb 158.93 Tb.upf
Ho 164.93 Ho.upf
Ga 69.72 Ga.upf
Pd 106.42 Pd.upf
CELL_PARAMETERS angstrom
-3.095 -1.670 -2.294
2.635 -2.950 -1.408
-2.318 -5.463 7.104
ATOMIC_POSITIONS crystal
Tb 0.000 0.000 0.500
Ho 0.000 0.000 0.000
Ga 0.500 0.500 0.133
Ga 0.500 0.500 0.867
Pd 0.000 0.500 0.277
Pd 0.500 0.000 0.277
Pd 0.000 0.500 0.723
Pd 0.500 0.000 0.723
Pd 0.500 0.500 0.500
! magnetic moment: 0.00 μB per atom
! energy of formation from the pure elements: -821.0 meV/atom
! DFT total energy: -5.402 eV/atom

***

! YScNO2, relaxed, DFT PBE; values from VASP
&SYSTEM
  ibrav = 0, nat = 5, ntyp = 4
/
ATOMIC_SPECIES
Y 88.91 Y.upf
Sc 44.96 Sc.upf
O 16.00 O.upf
N 14.01 N.upf
CELL_PARAMETERS angstrom
-3.412 -0.193 2.101
-1.521 -2.544 -2.704
1.499 -3.174 2.143
ATOMIC_POSITIONS crystal
Y 0.500 0.500 0.500
Sc 0.000 0.000 0.000
O 0.000 0.500 0.000
O 0.500 0.000 0.000
N 0.000 0.000 0.500
! magnetic moment: 0.17 μB per atom
! formation energy without anion corrections: -2.05 eV/atom
! DFT total energy: -8.254 eV/atom

***

! KCu3Ag, relaxed, DFT PBE; values from VASP
&SYSTEM
  ibrav = 0, nat = 5, ntyp = 3
/
ATOMIC_SPECIES
K 39.10 K.upf
Cu 63.55 Cu.upf
Ag 107.87 Ag.upf
CELL_PARAMETERS angstrom
4.935 0.000 0.000
0.000 4.935 0.000
0.000 0.000 4.935
ATOMIC_POSITIONS crystal
K 0.500 0.500 0.500
Cu 0.000 0.500 0.000
Cu 0.000 0.000 0.500
Cu 0.500 0.000 0.000
Ag 0.000 0.000 0.000
! energy above the most stable polymorph in this dataset: 0 meV/atom
! magnetic moment: 0.00 μB per atom
! energy of formation from the pure elements: 586.0 meV/atom
! DFT total energy: -2.661 eV/atom

***

! Zr4CS, relaxed, DFT PBE; values from VASP
&SYSTEM
  ibrav = 0, nat = 12, ntyp = 3
/
ATOMIC_SPECIES
Zr 91.22 Zr.upf
C 12.01 C.upf
S 32.06 S.upf
CELL_PARAMETERS angstrom
3.389 0.000 0.000
0.000 6.135 -0.145
0.000 -0.390 11.013
ATOMIC_POSITIONS crystal
Zr 0.500 0.134 0.379
Zr 0.000 0.366 0.121
Zr 0.500 0.866 0.621
Zr 0.000 0.634 0.879
Zr 0.000 0.687 0.368
Zr 0.500 0.813 0.132
Zr 0.000 0.313 0.632
Zr 0.500 0.187 0.868
C 0.000 0.000 0.500
C 0.500 0.500 0.000
S 0.500 0.500 0.500
S 0.000 0.000 0.000
! energy above the most stable polymorph in this dataset: 0 meV/atom
! magnetic moment: 0.00 μB per atom
! formation energy without anion corrections: -0.81 eV/atom
! DFT total energy: -8.737 eV/atom

***

! Li2MgCd, relaxed, DFT PBE; values from VASP
&SYSTEM
  ibrav = 0, nat = 16, ntyp = 3
/
ATOMIC_SPECIES
Li 6.94 Li.upf
Mg 24.30 Mg.upf
Cd 112.41 Cd.upf
CELL_PARAMETERS angstrom
4.916 0.000 0.000
0.000 5.959 0.000
0.000 0.000 10.624
ATOMIC_POSITIONS crystal
Li 0.750 0.001 0.171
Li 0.250 0.999 0.329
Li 0.250 0.501 0.829
Li 0.750 0.499 0.671
Li 0.250 0.999 0.829
Li 0.750 0.001 0.671
Li 0.750 0.499 0.171
Li 0.250 0.501 0.329
Mg 0.250 0.250 0.074
Mg 0.750 0.750 0.426
Mg 0.750 0.750 0.926
Mg 0.250 0.250 0.574
Cd 0.750 0.250 0.408
Cd 0.250 0.750 0.092
Cd 0.250 0.750 0.592
Cd 0.750 0.250 0.908
! energy above the most stable polymorph in this dataset: 16 meV/atom
! magnetic moment: 0.00 μB per atom
! energy of formation from the pure elements: -161.5 meV/atom
! DFT total energy: -1.746 eV/atom